No. 1
Compound: Ho2TmIn3Cu3
Source: OQMD via LeMat-Bulk
Functional: PBE-GGA
Structure: relaxed

Structure (POSCAR):
```
Ho2TmIn3Cu3
1.0
-2.2659 2.7415 -1.4092
-5.9861 -4.3748 1.1147
2.2847 4.6668 5.4052
In Ho Cu Tm
3 2 3 1
Cartesian
-3.8773 1.5872 4.1294 In
-2.6784 0.2433 -0.4130 In
-0.5464 2.5738 0.6929 In
-1.2572 2.0778 6.0638 Ho
-4.6335 -1.6132 4.3123 Ho
-1.6124 3.0147 3.2646 Cu
-0.0027 0.0002 0.0048 Cu
-4.3531 0.0186 1.8429 Cu
-1.5094 0.1191 2.6588 Tm
```

Raw total energy, eV per atom: -4.080
Symmetry: Amm2
Calculated volume, Å³/atom: 20.70



No. 2
Compound: YHoInCu2
Source: OQMD via LeMat-Bulk
Functional: PBE-GGA
Structure: relaxed

Structure (POSCAR):
```
YHoInCu2
1.0
-1.2085 -3.3878 -0.0149
6.6272 -2.3553 -1.9730
6.5339 -2.3407 2.2779
In Cu Ho Y
1 2 1 1
Cartesian
12.5520 -6.3882 0.2973 In
9.9214 -5.4496 0.2364 Cu
2.0526 -2.6419 0.0541 Cu
4.8227 -1.7208 0.1117 Ho
8.3219 -2.9694 0.1928 Y
```

Raw total energy, eV per atom: -4.631
Symmetry: Amm2
Calculated volume, Å³/atom: 21.38



No. 3
Compound: Ho2TmMg3CuIr2
Source: OQMD via LeMat-Bulk
Functional: PBE-GGA
Structure: relaxed

Structure (POSCAR):
```
Ho2TmMg3CuIr2
1.0
-2.6531 1.9899 -2.1144
-5.0683 -5.0717 1.5863
0.8546 5.8160 4.4012
Ho Cu Mg Ir Tm
2 1 3 2 1
Cartesian
-2.9580 -2.9581 0.9276 Ho
0.4969 3.3928 2.5695 Ho
-0.0042 0.0007 0.0060 Cu
-4.4949 1.5546 3.4450 Mg
-1.1174 2.4335 0.0342 Mg
-2.5820 -0.2588 -0.6619 Mg
-2.4503 3.1691 2.3989 Ir
-4.4113 -0.4358 1.4669 Ir
-1.7525 0.3095 2.4902 Tm
```

Raw total energy, eV per atom: -4.959
Symmetry: Amm2
Calculated volume, Å³/atom: 20.44